Compound: YSbP
Source: Alexandria via LeMat-Bulk
Functional: PBE
Structure: optimized geometry

```
data_YSbP
_chemical_formula_sum 'Y2 Sb2 P2'
_symmetry_space_group_name_H-M 'P 1'
_symmetry_Int_Tables_number 1
_cell_length_a 3.8917
_cell_length_b 3.8917
_cell_length_c 11.2800
_cell_angle_alpha 99.93
_cell_angle_beta 99.93
_cell_angle_gamma 90.00
loop_
_symmetry_equiv_pos_as_xyz
'x,y,z'
loop_
_atom_site_label
_atom_site_type_symbol
_atom_site_fract_x
_atom_site_fract_y
_atom_site_fract_z
Sb1 Sb 0.9219 0.9219 0.8439
P1 P 0.8054 0.8054 0.6108
Y1 Y 0.6734 0.6734 0.3469
Y2 Y 0.3266 0.3266 0.6531
P2 P 0.1946 0.1946 0.3892
Sb2 Sb 0.0781 0.0781 0.1561
```

Computed properties:
magnetic moment	0.00	Bohr magnetons per cell
E_tot	-6.13	eV per atom
polymorph energy (0 for the lowest one)	0.0000	eV/atom